Sc4AlIn | GGA-PBE | optimized geometry

ΔE to the lowest computed polymorph ... 0.0000 eV per atom
V ... 22.34 Å³ per atom
Formation enthalpy at 0 K ... -0.230 eV/atom
Total energy ... -33.19 eV/cell
Density ... 3984 kg/m³

a = 3.2792 Å, b = 9.3802 Å, c = 4.7535 Å
α = 90.00°, β = 89.99°, γ = 66.48°
Sites, in units of the cell vectors:
Sc  0.1092  0.1552  0.5000
Sc  0.8908  0.8448  0.5000
Sc  0.6417  0.6792  0.0000
Sc  0.3583  0.3208  0.0000
In  0.5000  0.5000  0.5000
Al  0.0000  0.0000  0.0000

=====

TiB2Ru2 | GGA-PBE | optimized geometry

V ... 11.35 Å³ per atom
Formation enthalpy at 0 K ... -0.040 eV/atom
Total energy ... -80.00 eV/cell
Density ... 7948 kg/m³

a = 6.4529 Å, b = 6.4529 Å, c = 2.7258 Å
α = 90.00°, β = 90.00°, γ = 90.00°
Sites, in units of the cell vectors:
Ru  0.1432  0.3568  0.0000
Ru  0.6432  0.1432  0.0000
Ru  0.3568  0.8568  0.0000
Ru  0.8568  0.6432  0.0000
Ti  0.5000  0.5000  0.0000
Ti  0.0000  0.0000  0.0000
B  0.8442  0.3442  0.5000
B  0.3442  0.1558  0.5000
B  0.1558  0.6558  0.5000
B  0.6558  0.8442  0.5000

=====

Al3Se2 | GGA-PBE | optimized geometry

ΔE to the lowest computed polymorph ... 0.2863 eV per atom
V ... 21.76 Å³ per atom
Raw formation energy ... -0.005 eV/atom
Total energy ... -18.22 eV/cell
Density ... 3645 kg/m³

a = 4.7968 Å, b = 4.7968 Å, c = 5.4612 Å
α = 90.00°, β = 90.00°, γ = 120.00°
Sites, in units of the cell vectors:
Se  0.6667  0.3333  0.2535
Se  0.3333  0.6667  0.7465
Al  0.6667  0.3333  0.7457
Al  0.0000  0.0000  0.0000
Al  0.3333  0.6667  0.2543

=====

> Which formula does entry 3 have?

Al3Se2